# 1
Here is an optimized crystal structure of Sc2Ga3Pt from Alexandria. Energies are from PBE-GGA.

## Properties
Its energy of formation is -0.787 eV/atom. Its density of states at the Fermi level is 4.3 states/eV/f.u.

Lattice parameters (Å, degrees): 3.259 4.385 7.525 90.00 90.00 90.00
Sites, in units of the cell vectors:
Sc 0.000 0.000 0.000
Sc 0.000 0.500 0.472
Ga 0.500 0.000 0.652
Ga 0.500 0.500 0.151
Ga 0.500 0.500 0.817
Pt 0.500 0.000 0.318

# 2
Here is an optimized crystal structure of Sc6Ga5Pt from Alexandria. Energies are from PBE-GGA.

## Properties
Its energy of formation is -0.694 eV/atom. Its density of states at the Fermi level is 7.1 states/eV/f.u.

Lattice parameters (Å, degrees): 7.479 7.479 6.720 90.00 90.00 143.14
Sites, in units of the cell vectors:
Sc 0.000 0.000 0.249
Sc 0.000 0.000 0.751
Sc 0.335 0.665 0.248
Sc 0.335 0.665 0.752
Sc 0.665 0.335 0.248
Sc 0.665 0.335 0.752
Ga 0.166 0.834 0.000
Ga 0.169 0.831 0.500
Ga 0.500 0.500 0.500
Ga 0.831 0.169 0.500
Ga 0.834 0.166 0.000
Pt 0.500 0.500 0.000

# 3
Here is an optimized crystal structure of Sc2GaPt from Alexandria. Energies are from PBE-GGA.

## Properties
Its energy of formation is -0.933 eV/atom. Its density of states at the Fermi level is 2.3 states/eV/f.u.

Lattice parameters (Å, degrees): 3.360 3.360 6.538 90.00 90.00 90.00
Sites, in units of the cell vectors:
Sc 0.000 0.000 0.243
Sc 0.000 0.000 0.757
Ga 0.500 0.500 0.500
Pt 0.500 0.500 0.000

# 4
Here is an optimized crystal structure of ScGa2Pt2 from Alexandria. Energies are from PBE-GGA.

## Properties
Its energy of formation is -0.877 eV/atom. Its density of states at the Fermi level is 2.4 states/eV/f.u.

Lattice parameters (Å, degrees): 4.941 4.472 8.303 90.00 104.12 90.00
Sites, in units of the cell vectors:
Sc 0.139 0.250 0.280
Sc 0.861 0.750 0.720
Ga 0.234 0.250 0.634
Ga 0.367 0.750 0.044
Ga 0.633 0.250 0.956
Ga 0.766 0.750 0.366
Pt 0.111 0.250 0.911
Pt 0.318 0.750 0.492
Pt 0.682 0.250 0.508
Pt 0.889 0.750 0.089